1.
First-principles (GGA-PBE) data for crystalline CaNdSm2Se4 at its relaxed geometry, as listed in the Alexandria database.

Computed properties:
Spin magnetization (μB/f.u.): 0.00
Energy (eV per atom): -5.6284

The structure in CIF format:
```
data_CaNdSm2Se4
_chemical_formula_sum 'Ca1 Nd1 Sm2 Se4'
_space_group_name_H-M_alt 'P 1 2/m 1'
_space_group_IT_number 10
_space_group_name_Hall '-P 2y'
_cell_length_a 7.263
_cell_length_b 4.168
_cell_length_c 7.284
_cell_angle_alpha 90.00
_cell_angle_beta 109.08
_cell_angle_gamma 90.00
loop_
_atom_site_label
_atom_site_fract_x
_atom_site_fract_y
_atom_site_fract_z
_atom_site_occupancy
Ca1 0.000 0.000 0.000 1
Nd1 0.000 0.500 0.500 1
Sm1 0.500 0.000 0.500 1
Sm2 0.500 0.500 0.000 1
Se1 0.249 0.500 0.246 1
Se2 0.251 0.000 0.755 1
```

2.
First-principles (GGA-PBE) data for crystalline Ca2NdSnSe4 at its relaxed geometry, as listed in the Alexandria database.

Computed properties:
Spin magnetization (μB/f.u.): 0.00
Energy (eV per atom): -4.8557

The structure in CIF format:
```
data_Ca2NdSnSe4
_chemical_formula_sum 'Ca2 Nd1 Sn1 Se4'
_space_group_name_H-M_alt 'P 1 2/m 1'
_space_group_IT_number 10
_space_group_name_Hall '-P 2y'
_cell_length_a 7.349
_cell_length_b 4.217
_cell_length_c 7.401
_cell_angle_alpha 90.00
_cell_angle_beta 109.28
_cell_angle_gamma 90.00
loop_
_atom_site_label
_atom_site_fract_x
_atom_site_fract_y
_atom_site_fract_z
_atom_site_occupancy
Ca1 0.000 0.000 0.000 1
Ca2 0.000 0.500 0.500 1
Nd1 0.500 0.000 0.500 1
Sn1 0.500 0.500 0.000 1
Se1 0.245 0.000 0.746 1
Se2 0.245 0.500 0.248 1
```

3.
First-principles (GGA-PBE) data for crystalline Sr2CaNdSe4 at its relaxed geometry, as listed in the Alexandria database.

Computed properties:
Spin magnetization (μB/f.u.): 0.00
Energy (eV per atom): -4.9808

The structure in CIF format:
```
data_Sr2CaNdSe4
_chemical_formula_sum 'Sr2 Ca1 Nd1 Se4'
_space_group_name_H-M_alt 'P 1 2/m 1'
_space_group_IT_number 10
_space_group_name_Hall '-P 2y'
_cell_length_a 7.489
_cell_length_b 4.311
_cell_length_c 7.525
_cell_angle_alpha 90.00
_cell_angle_beta 109.32
_cell_angle_gamma 90.00
loop_
_atom_site_label
_atom_site_fract_x
_atom_site_fract_y
_atom_site_fract_z
_atom_site_occupancy
Sr1 0.000 0.000 0.000 1
Sr2 0.500 0.500 0.000 1
Ca1 0.000 0.500 0.500 1
Nd1 0.500 0.000 0.500 1
Se1 0.245 0.000 0.737 1
Se2 0.253 0.500 0.261 1
```

4.
First-principles (GGA-PBE) data for crystalline CaTb4NdSe8 at its relaxed geometry, as listed in the Alexandria database.

Computed properties:
Spin magnetization (μB/f.u.): 0.00
Energy (eV per atom): -5.5985

The structure in CIF format:
```
data_CaTb4NdSe8
_chemical_formula_sum 'Ca3 Tb12 Nd3 Se24'
_space_group_name_H-M_alt 'R 3 m'
_space_group_IT_number 160
_space_group_name_Hall 'R 3 -2"'
_cell_length_a 8.5029
_cell_length_b 8.5029
_cell_length_c 21.0217
_cell_angle_alpha 90.00
_cell_angle_beta 90.00
_cell_angle_gamma 120.00
loop_
_atom_site_label
_atom_site_fract_x
_atom_site_fract_y
_atom_site_fract_z
_atom_site_occupancy
Ca1 0.0000 0.0000 0.0000 1
Tb1 0.0000 0.0000 0.2516 1
Tb2 0.1694 0.3388 0.4586 1
Nd1 0.0000 0.0000 0.6280 1
Se1 0.0000 0.0000 0.3842 1
Se2 0.0000 0.0000 0.8660 1
Se3 0.0210 0.5105 0.3818 1
Se4 0.1747 0.3493 0.2045 1
```